Entry 1:
Pm3ZnIr2 | GGA-PBE | optimized geometry

a b c (Å): 3.5934 3.5934 10.6570
angles (deg): 90.00 90.00 90.00
Closest atoms and distances in Å follow each position.
Positions (direct):
1 Pm 0.0000 0.0000 0.0000  8 Ir 3.09, 2 Pm 3.38
2 Pm 0.0000 0.0000 0.3168  4 Ir 3.01, 4 Zn 3.20
3 Pm 0.0000 0.0000 0.6832  4 Ir 3.01, 4 Zn 3.20
4 Zn 0.5000 0.5000 0.5000  8 Pm 3.20, 2 Ir 3.57
5 Ir 0.5000 0.5000 0.1654  8 Pm 3.01-3.09
6 Ir 0.5000 0.5000 0.8346  8 Pm 3.01-3.09

Values from the calculation:
DOS at the Fermi energy ... 3.999 states/eV/f.u.
Offset from the most stable computed form ... 0.060 eV/atom
Volume ... 138 Å³/cell
ΔH_f (0 K) ... -537 meV per atom
Spin magnetization ... 0.00 μB/f.u.
Space-group type ... P4/mmm

=====

Entry 2:
VZnTe2I | GGA-PBE | optimized geometry

a b c (Å): 5.2796 5.2796 5.4653
angles (deg): 90.00 90.00 90.00
Closest atoms and distances in Å follow each position.
Positions (direct):
1 V 0.0000 0.0000 0.0000  4 I 3.73, 8 Te 3.80
2 Zn 0.5000 0.5000 0.5000  4 Te 2.64, 2 I 2.73
3 Te 0.0000 0.5000 0.5000  2 Zn 2.64
4 Te 0.5000 0.0000 0.5000  2 Zn 2.64
5 I 0.5000 0.5000 0.0000  2 Zn 2.73

Values from the calculation:
DOS at the Fermi energy ... 9.060 states/eV/f.u.
Offset from the most stable computed form ... 0.696 eV/atom
Volume ... 152 Å³/cell
Spin magnetization ... 0.09 μB/f.u.
Space-group type ... P4/mmm
Formation energy (no corrections) ... 0.91 eV/atom

=====

Entry 3:
Nd3PuRh3 | GGA-PBE | optimized geometry

a b c (Å): 7.0073 7.0073 7.1301
angles (deg): 90.21 90.21 94.87
Closest atoms and distances in Å follow each position.
Positions (direct):
1 Nd 0.1775 0.8225 0.0000  6 Rh 2.92-2.95
2 Nd 0.2601 0.7399 0.5000  6 Rh 3.08-3.15
3 Nd 0.3301 0.3301 0.1170  3 Rh 2.84-2.94
4 Nd 0.6699 0.6699 0.8830  3 Rh 2.84-2.94
5 Nd 0.7399 0.2601 0.5000  6 Rh 3.08-3.15
6 Nd 0.8225 0.1775 0.0000  6 Rh 2.92-2.95
7 Pu 0.2306 0.2306 0.6344  4 Rh 2.66-2.86
8 Pu 0.7694 0.7694 0.3656  4 Rh 2.66-2.86
9 Rh 0.0199 0.4911 0.7822  1 Pu 2.66, 3 Nd 2.92-2.95
10 Rh 0.0678 0.0678 0.3087  2 Pu 2.78-2.86, 5 Nd 2.84-3.08, 1 Rh 3.02
11 Rh 0.4911 0.0199 0.7822  1 Pu 2.66, 3 Nd 2.92-2.95
12 Rh 0.5089 0.9801 0.2178  1 Pu 2.66, 3 Nd 2.92-2.95
13 Rh 0.9322 0.9322 0.6913  2 Pu 2.78-2.86, 5 Nd 2.84-3.08, 1 Rh 3.02
14 Rh 0.9801 0.5089 0.2178  1 Pu 2.66, 3 Nd 2.92-2.95

Values from the calculation:
DOS at the Fermi energy ... 12.309 states/eV/f.u.
Volume ... 349 Å³/cell
ΔH_f (0 K) ... -477 meV per atom
Spin magnetization ... 5.25 μB/f.u.
Space-group type ... C2/m

=====

Entry 4:
ZnCoW2 | GGA-PBE | optimized geometry

a b c (Å): 6.9073 6.9073 5.1510
angles (deg): 90.00 90.00 90.00
Closest atoms and distances in Å follow each position.
Positions (direct):
1 Zn 0.0000 0.0000 0.0000  2 Co 2.58, 4 W 2.70
2 Zn 0.0000 0.5000 0.2500  2 Co 2.58, 4 W 2.70
3 Zn 0.5000 0.0000 0.7500  2 Co 2.58, 4 W 2.70
4 Zn 0.5000 0.5000 0.5000  2 Co 2.58, 4 W 2.70
5 Co 0.0000 0.0000 0.5000  4 W 2.36, 2 Zn 2.58
6 Co 0.0000 0.5000 0.7500  4 W 2.36, 2 Zn 2.58
7 Co 0.5000 0.0000 0.2500  4 W 2.36, 2 Zn 2.58
8 Co 0.5000 0.5000 0.0000  4 W 2.36, 2 Zn 2.58
9 W 0.2138 0.2500 0.6250  2 Co 2.36, 2 W 2.62
10 W 0.2500 0.7138 0.8750  2 Co 2.36, 2 W 2.62
11 W 0.2500 0.7862 0.3750  2 Co 2.36, 2 W 2.62
12 W 0.2862 0.2500 0.1250  2 Co 2.36, 2 W 2.62
13 W 0.7138 0.7500 0.1250  2 Co 2.36, 2 W 2.62
14 W 0.7500 0.2138 0.3750  2 Co 2.36, 2 W 2.62
15 W 0.7500 0.2862 0.8750  2 Co 2.36, 2 W 2.62
16 W 0.7862 0.7500 0.6250  2 Co 2.36, 2 W 2.62

Values from the calculation:
DOS at the Fermi energy ... 3.174 states/eV/f.u.
Volume ... 246 Å³/cell
ΔH_f (0 K) ... 723 meV per atom
Spin magnetization ... 0.00 μB/f.u.
Space-group type ... I-42d

=====

Entry 5:
BaSm2Ru | GGA-PBE | optimized geometry

a b c (Å): 4.0264 4.0264 32.6516
angles (deg): 90.00 90.00 120.00
Closest atoms and distances in Å follow each position.
Positions (direct):
1 Ba 0.0000 0.0000 0.0000  2 Sm 3.91, 6 Ba 4.03
2 Ba 0.3333 0.6667 0.6667  2 Sm 3.91, 6 Ba 4.03
3 Ba 0.6667 0.3333 0.3333  2 Sm 3.91, 6 Ba 4.03
4 Sm 0.0000 0.0000 0.1198  3 Ru 2.78
5 Sm 0.0000 0.0000 0.8802  3 Ru 2.78
6 Sm 0.3333 0.6667 0.5468  3 Ru 2.78
7 Sm 0.3333 0.6667 0.7865  3 Ru 2.78
8 Sm 0.6667 0.3333 0.2135  3 Ru 2.78
9 Sm 0.6667 0.3333 0.4532  3 Ru 2.78
10 Ru 0.0000 0.0000 0.5000  6 Sm 2.78
11 Ru 0.3333 0.6667 0.1667  6 Sm 2.78
12 Ru 0.6667 0.3333 0.8333  6 Sm 2.78

Values from the calculation:
DOS at the Fermi energy ... 2.716 states/eV/f.u.
Offset from the most stable computed form ... 0.116 eV/atom
Volume ... 458 Å³/cell
ΔH_f (0 K) ... 49 meV per atom
Spin magnetization ... 0.00 μB/f.u.
Space-group type ... R-3m

=====

Entry 6:
Sc3SnSe6 | GGA-PBE | optimized geometry

a b c (Å): 8.0626 8.0626 8.0626
angles (deg): 90.33 90.33 90.33
Closest atoms and distances in Å follow each position.
Positions (direct):
1 Sc 0.0613 0.7359 0.5756  6 Se 2.66-2.82
2 Sc 0.2641 0.4244 0.9387  6 Se 2.66-2.82
3 Sc 0.4244 0.9387 0.2641  6 Se 2.66-2.82
4 Sc 0.5756 0.0613 0.7359  6 Se 2.66-2.82
5 Sc 0.7359 0.5756 0.0613  6 Se 2.66-2.82
6 Sc 0.9387 0.2641 0.4244  6 Se 2.66-2.82
7 Sn 0.0000 0.0000 0.0000  6 Se 2.71
8 Sn 0.5000 0.5000 0.5000  6 Se 2.90
9 Se 0.0306 0.6788 0.9051  1 Sn 2.71, 3 Sc 2.71-2.82
10 Se 0.0949 0.9694 0.3212  1 Sn 2.71, 3 Sc 2.71-2.82
11 Se 0.1698 0.4109 0.6120  3 Sc 2.66-2.78, 1 Sn 2.90
12 Se 0.3212 0.0949 0.9694  1 Sn 2.71, 3 Sc 2.71-2.82
13 Se 0.3880 0.8302 0.5891  3 Sc 2.66-2.78, 1 Sn 2.90
14 Se 0.4109 0.6120 0.1698  3 Sc 2.66-2.78, 1 Sn 2.90
15 Se 0.5891 0.3880 0.8302  3 Sc 2.66-2.78, 1 Sn 2.90
16 Se 0.6120 0.1698 0.4109  3 Sc 2.66-2.78, 1 Sn 2.90
17 Se 0.6788 0.9051 0.0306  1 Sn 2.71, 3 Sc 2.71-2.82
18 Se 0.8302 0.5891 0.3880  3 Sc 2.66-2.78, 1 Sn 2.90
19 Se 0.9051 0.0306 0.6788  1 Sn 2.71, 3 Sc 2.71-2.82
20 Se 0.9694 0.3212 0.0949  1 Sn 2.71, 3 Sc 2.71-2.82

Values from the calculation:
DOS at the Fermi energy ... 0.706 states/eV/f.u.
Volume ... 524 Å³/cell
Spin magnetization ... 0.00 μB/f.u.
Space-group type ... R-3
Formation energy (no corrections) ... -1.28 eV/atom

=====

Entry 7:
UBi3 | GGA-PBE | optimized geometry

a b c (Å): 6.7762 11.6202 6.0139
angles (deg): 90.00 90.00 90.00
Closest atoms and distances in Å follow each position.
Positions (direct):
1 U 0.0000 0.1618 0.2500  12 Bi 3.35-3.59
2 U 0.0000 0.8382 0.7500  12 Bi 3.35-3.59
3 U 0.5000 0.3382 0.7500  12 Bi 3.35-3.59
4 U 0.5000 0.6618 0.2500  12 Bi 3.35-3.59
5 Bi 0.0000 0.3305 0.7500  8 Bi 3.24-3.60, 4 U 3.39-3.59
6 Bi 0.0000 0.6695 0.2500  8 Bi 3.24-3.60, 4 U 3.39-3.59
7 Bi 0.2421 0.0898 0.7500  6 Bi 3.24-3.60, 4 U 3.35-3.53
8 Bi 0.2421 0.9102 0.2500  6 Bi 3.24-3.60, 4 U 3.35-3.53
9 Bi 0.2579 0.4102 0.2500  6 Bi 3.24-3.60, 4 U 3.35-3.53
10 Bi 0.2579 0.5898 0.7500  6 Bi 3.24-3.60, 4 U 3.35-3.53
11 Bi 0.5000 0.1695 0.2500  8 Bi 3.24-3.60, 4 U 3.39-3.59
12 Bi 0.5000 0.8305 0.7500  8 Bi 3.24-3.60, 4 U 3.39-3.59
13 Bi 0.7421 0.4102 0.2500  6 Bi 3.24-3.60, 4 U 3.35-3.53
14 Bi 0.7421 0.5898 0.7500  6 Bi 3.24-3.60, 4 U 3.35-3.53
15 Bi 0.7579 0.0898 0.7500  6 Bi 3.24-3.60, 4 U 3.35-3.53
16 Bi 0.7579 0.9102 0.2500  6 Bi 3.24-3.60, 4 U 3.35-3.53

Values from the calculation:
DOS at the Fermi energy ... 9.260 states/eV/f.u.
Volume ... 474 Å³/cell
ΔH_f (0 K) ... 61 meV per atom
Spin magnetization ... 2.54 μB/f.u.
Space-group type ... Cmcm

=====

Entry 8:
Cu2AgCl | GGA-PBE | optimized geometry

a b c (Å): 3.1212 3.1212 22.8028
angles (deg): 90.00 90.00 120.00
Closest atoms and distances in Å follow each position.
Positions (direct):
1 Cu 0.0000 0.0000 0.2460  3 Cl 2.55, 3 Ag 2.69
2 Cu 0.0000 0.0000 0.7540  3 Cl 2.55, 3 Ag 2.69
3 Cu 0.3333 0.6667 0.4207  3 Cl 2.55, 3 Ag 2.69
4 Cu 0.3333 0.6667 0.9127  3 Cl 2.55, 3 Ag 2.69
5 Cu 0.6667 0.3333 0.0873  3 Cl 2.55, 3 Ag 2.69
6 Cu 0.6667 0.3333 0.5793  3 Cl 2.55, 3 Ag 2.69
7 Ag 0.0000 0.0000 0.0000  6 Cu 2.69
8 Ag 0.3333 0.6667 0.6667  6 Cu 2.69
9 Ag 0.6667 0.3333 0.3333  6 Cu 2.69
10 Cl 0.0000 0.0000 0.5000  6 Cu 2.55
11 Cl 0.3333 0.6667 0.1667  6 Cu 2.55
12 Cl 0.6667 0.3333 0.8333  6 Cu 2.55

Values from the calculation:
DOS at the Fermi energy ... 1.764 states/eV/f.u.
Offset from the most stable computed form ... 0.143 eV/atom
Volume ... 192 Å³/cell
Spin magnetization ... 0.00 μB/f.u.
Space-group type ... R-3m
Formation energy (no corrections) ... 0.13 eV/atom

=====

Number 1: total energy -0.44674 Ry per atom. Number 2: total energy -0.20120 Ry per atom. Number 3: total energy -0.56728 Ry per atom. Number 4: total energy -0.57684 Ry per atom. Number 5: total energy -0.37562 Ry per atom. Number 6: total energy -0.41651 Ry per atom. Number 7: total energy -0.41688 Ry per atom. Number 8: total energy -0.22748 Ry per atom.